Record 1
A plane-wave DFT calculation with PBE was carried out for a relaxed structure of Nd7Sb2Au2.

Computed properties:
ΔE_f (raw) ... -480 kJ/mol of formula units
DOS(E_F) ... 11.653 states/eV/f.u.
Density ... 7.5 g cm⁻³

Structure (CIF):
```
data_Nd7Sb2Au2
_symmetry_space_group_name_H-M 'P 1'
_symmetry_Int_Tables_number 1
_symmetry_space_group_name_Hall 'P 1'
_cell_length_a 7.291
_cell_length_b 7.029
_cell_length_c 7.291
_cell_angle_alpha 90.00
_cell_angle_beta 101.68
_cell_angle_gamma 90.00
loop_
_atom_site_label
_atom_site_fract_x
_atom_site_fract_y
_atom_site_fract_z
Nd1 0.000 0.262 0.500
Nd2 0.500 0.738 0.000
Nd3 0.000 0.738 0.500
Nd4 0.500 0.262 0.000
Nd5 0.000 0.000 0.000
Nd6 0.500 0.755 0.500
Nd7 0.500 0.245 0.500
Sb1 0.807 0.500 0.807
Sb2 0.193 0.500 0.193
Au1 0.726 0.000 0.274
Au2 0.274 0.000 0.726
```


Record 2
A plane-wave DFT calculation with PBE was carried out for a relaxed structure of Nd8SbAu2.

Computed properties:
ΔE_f (raw) ... -473 kJ/mol of formula units
DOS(E_F) ... 10.235 states/eV/f.u.
Density ... 8.0 g cm⁻³

Structure (CIF):
```
data_Nd8SbAu2
_symmetry_space_group_name_H-M 'P 1'
_symmetry_Int_Tables_number 1
_symmetry_space_group_name_Hall 'P 1'
_cell_length_a 5.297
_cell_length_b 7.145
_cell_length_c 10.030
_cell_angle_alpha 108.81
_cell_angle_beta 105.31
_cell_angle_gamma 90.00
loop_
_atom_site_label
_atom_site_fract_x
_atom_site_fract_y
_atom_site_fract_z
Nd1 0.405 0.526 0.810
Nd2 0.674 0.001 0.349
Nd3 0.799 0.649 0.599
Nd4 0.977 0.229 0.953
Nd5 0.201 0.351 0.401
Nd6 0.326 0.999 0.651
Nd7 0.595 0.474 0.190
Nd8 0.023 0.771 0.047
Sb1 0.500 0.000 0.000
Au1 0.828 0.263 0.657
Au2 0.172 0.737 0.343
```


Record 3
A plane-wave DFT calculation with PBE was carried out for a relaxed structure of NdSb2Au.

Computed properties:
ΔE_f (raw) ... -274 kJ/mol of formula units
DOS(E_F) ... 1.482 states/eV/f.u.
Density ... 9.5 g cm⁻³

Structure (CIF):
```
data_NdSb2Au
_symmetry_space_group_name_H-M 'P 1'
_symmetry_Int_Tables_number 1
_symmetry_space_group_name_Hall 'P 1'
_cell_length_a 4.468
_cell_length_b 4.468
_cell_length_c 10.280
_cell_angle_alpha 90.00
_cell_angle_beta 90.00
_cell_angle_gamma 90.00
loop_
_atom_site_label
_atom_site_fract_x
_atom_site_fract_y
_atom_site_fract_z
Nd1 0.750 0.750 0.254
Nd2 0.250 0.250 0.746
Au1 0.750 0.250 0.000
Au2 0.250 0.750 0.000
Sb1 0.750 0.250 0.500
Sb2 0.250 0.750 0.500
Sb3 0.750 0.750 0.821
Sb4 0.250 0.250 0.179
```


Record 4
A plane-wave DFT calculation with PBE was carried out for a relaxed structure of NdSmSbAu.

Computed properties:
ΔE_f (raw) ... -311 kJ/mol of formula units
DOS(E_F) ... 4.737 states/eV/f.u.
Density ... 9.5 g cm⁻³

Structure (CIF):
```
data_NdSmSbAu
_symmetry_space_group_name_H-M 'P 1'
_symmetry_Int_Tables_number 1
_symmetry_space_group_name_Hall 'P 1'
_cell_length_a 5.341
_cell_length_b 5.341
_cell_length_c 5.341
_cell_angle_alpha 60.00
_cell_angle_beta 60.00
_cell_angle_gamma 60.00
loop_
_atom_site_label
_atom_site_fract_x
_atom_site_fract_y
_atom_site_fract_z
Nd1 0.250 0.250 0.250
Au1 0.000 0.000 0.000
Sm1 0.750 0.750 0.750
Sb1 0.500 0.500 0.500
```


Record 5
A plane-wave DFT calculation with PBE was carried out for a relaxed structure of SrNdSbAu.

Computed properties:
ΔE_f (raw) ... -305 kJ/mol of formula units
DOS(E_F) ... 4.158 states/eV/f.u.
Density ... 7.9 g cm⁻³

Structure (CIF):
```
data_SrNdSbAu
_symmetry_space_group_name_H-M 'P 1'
_symmetry_Int_Tables_number 1
_symmetry_space_group_name_Hall 'P 1'
_cell_length_a 5.476
_cell_length_b 5.476
_cell_length_c 5.476
_cell_angle_alpha 60.00
_cell_angle_beta 60.00
_cell_angle_gamma 60.00
loop_
_atom_site_label
_atom_site_fract_x
_atom_site_fract_y
_atom_site_fract_z
Nd1 0.750 0.750 0.750
Au1 0.000 0.000 0.000
Sr1 0.250 0.250 0.250
Sb1 0.500 0.500 0.500
```


Record 6
A plane-wave DFT calculation with PBE was carried out for a relaxed structure of Nd8Sb3Te4Au.

Computed properties:
ΔE_f (raw) ... -1965 kJ/mol of formula units
DOS(E_F) ... 10.793 states/eV/f.u.
Density ... 7.2 g cm⁻³

Structure (CIF):
```
data_Nd8Sb3Te4Au
_symmetry_space_group_name_H-M 'P 1'
_symmetry_Int_Tables_number 1
_symmetry_space_group_name_Hall 'P 1'
_cell_length_a 8.973
_cell_length_b 9.013
_cell_length_c 8.973
_cell_angle_alpha 119.85
_cell_angle_beta 120.00
_cell_angle_gamma 90.00
loop_
_atom_site_label
_atom_site_fract_x
_atom_site_fract_y
_atom_site_fract_z
Nd1 0.244 0.739 0.995
Nd2 0.244 0.739 0.487
Nd3 0.253 0.260 0.507
Nd4 0.752 0.739 0.995
Nd5 0.248 0.261 0.005
Nd6 0.747 0.740 0.493
Nd7 0.756 0.261 0.513
Nd8 0.756 0.261 0.005
Sb1 0.500 0.500 0.000
Sb2 0.500 0.500 0.500
Sb3 0.000 0.500 0.500
Te1 0.500 0.000 0.000
Te2 0.500 0.000 0.500
Te3 0.000 0.000 0.000
Te4 0.000 0.000 0.500
Au1 0.000 0.500 0.000
```


Record 7
A plane-wave DFT calculation with PBE was carried out for a relaxed structure of Nd4SbTe2Au.

Computed properties:
ΔE_f (raw) ... -924 kJ/mol of formula units
DOS(E_F) ... 5.270 states/eV/f.u.
Density ... 7.6 g cm⁻³

Structure (CIF):
```
data_Nd4SbTe2Au
_symmetry_space_group_name_H-M 'P 1'
_symmetry_Int_Tables_number 1
_symmetry_space_group_name_Hall 'P 1'
_cell_length_a 4.408
_cell_length_b 7.821
_cell_length_c 7.746
_cell_angle_alpha 71.14
_cell_angle_beta 90.00
_cell_angle_gamma 90.00
loop_
_atom_site_label
_atom_site_fract_x
_atom_site_fract_y
_atom_site_fract_z
Nd1 0.000 0.737 0.760
Nd2 0.000 0.263 0.240
Nd3 0.500 0.742 0.251
Nd4 0.500 0.258 0.749
Sb1 0.000 0.500 0.500
Te1 0.000 0.000 0.000
Te2 0.500 0.000 0.500
Au1 0.500 0.500 0.000
```


Record 8
A plane-wave DFT calculation with PBE was carried out for a relaxed structure of NdScAu2.

Computed properties:
Energy of formation from the pure elements ... -3.1 eV per formula unit
DOS(E_F) ... 2.989 states/eV/f.u.
Density ... 10.8 g cm⁻³

Structure (CIF):
```
data_NdScAu2
_symmetry_space_group_name_H-M 'P 1'
_symmetry_Int_Tables_number 1
_symmetry_space_group_name_Hall 'P 1'
_cell_length_a 3.501
_cell_length_b 3.501
_cell_length_c 7.328
_cell_angle_alpha 90.00
_cell_angle_beta 90.00
_cell_angle_gamma 90.00
loop_
_atom_site_label
_atom_site_fract_x
_atom_site_fract_y
_atom_site_fract_z
Sc1 0.500 0.500 0.000
Nd1 0.500 0.500 0.500
Au1 0.000 0.000 0.788
Au2 0.000 0.000 0.212
```